The following is a PBE-GGA calculation of a relaxed structure of Sc2CoAsC, from Alexandria via LeMat-Bulk.

Output
The value obtained for the mass density is 5.1 Mg/m³. The value obtained for the density of states at the Fermi level is 3.9 states/eV/cell. The formation energy from the elements comes out at -0.618 eV/atom. As for the total moment: 1.385 μB per formula unit. The total energy comes out at -7.346 eV/atom.

a = 4.555 Å, b = 4.555 Å, c = 3.702 Å
α = 90.00°, β = 90.00°, γ = 90.00°
Last column: magnetic moment on the atom in μB.
Fractional positions:
C1 0.000 0.000 0.000  0.04
As1 0.500 0.500 0.500  0.07
Co1 0.000 0.000 0.500  1.08
Sc1 0.000 0.500 0.000  0.06
Sc2 0.500 0.000 0.000  0.06